No. 1
The following is a GGA-PBE calculation of a geometry-optimized DyPu2Fe structure, from Alexandria.

## Properties
Space-group type = R-3m
ΔE_f = 0.56 eV/atom
Energy relative to the lowest polymorph listed for this composition = 1.74 eV/f.u.

abc: 6.0259 6.0259 6.0259
angles: 42.00 42.00 42.00
With the nearest neighbours (Å) after each atom.
Element x y z (fractional)
Dy: 0.0000 0.0000 0.0000  2 Pu 3.08
Pu: 0.1873 0.1873 0.1873  3 Fe 2.52, 3 Pu 2.58
Pu: 0.8127 0.8127 0.8127  3 Fe 2.52, 3 Pu 2.58
Fe: 0.5000 0.5000 0.5000  6 Pu 2.52

No. 2
The following is a GGA-PBE calculation of a geometry-optimized DyPu2Fe structure, from Alexandria.

## Properties
Space-group type = P4/mmm
ΔE_f = 0.13 eV/atom
Energy relative to the lowest polymorph listed for this composition = 0.00 eV/f.u.

abc: 3.3061 3.3061 8.6604
angles: 90.00 90.00 90.00
With the nearest neighbours (Å) after each atom.
Element x y z (fractional)
Dy: 0.0000 0.0000 0.0000  4 Dy 3.31, 8 Pu 3.55
Pu: 0.5000 0.5000 0.3085  4 Fe 2.87
Pu: 0.5000 0.5000 0.6915  4 Fe 2.87
Fe: 0.0000 0.0000 0.5000  8 Pu 2.87

No. 3
The following is a GGA-PBE calculation of a geometry-optimized DyFe10Re2 structure, from Alexandria.

## Properties
Space-group type = Immm
ΔE_f = -0.04 eV/atom

abc: 6.4771 6.4771 6.4771
angles: 137.55 98.47 96.60
With the nearest neighbours (Å) after each atom.
Element x y z (fractional)
Dy: 0.0000 0.0000 0.0000  18 Fe 2.99-3.24, 2 Re 3.08
Fe: 0.0000 0.0000 0.5000  8 Fe 2.35-2.62, 2 Re 2.59
Fe: 0.0000 0.5000 0.0000  8 Fe 2.35-2.62, 2 Re 2.59
Fe: 0.2184 0.5000 0.7184  8 Fe 2.47-2.71, 2 Re 2.68
Fe: 0.2302 0.7302 0.5000  8 Fe 2.42-2.71, 2 Re 2.59
Fe: 0.3581 0.0000 0.3581  9 Fe 2.40-2.63
Fe: 0.5000 0.0000 0.0000  8 Fe 2.35-2.62, 2 Re 2.59
Fe: 0.5000 0.5000 0.5000  8 Fe 2.35-2.62, 2 Re 2.59
Fe: 0.6419 0.0000 0.6419  9 Fe 2.40-2.63
Fe: 0.7698 0.2698 0.5000  8 Fe 2.42-2.71, 2 Re 2.59
Fe: 0.7816 0.5000 0.2816  8 Fe 2.47-2.71, 2 Re 2.68
Re: 0.3579 0.3579 0.0000  1 Re 2.45, 8 Fe 2.59-2.68
Re: 0.6421 0.6421 0.0000  1 Re 2.45, 8 Fe 2.59-2.68

No. 4
The following is a GGA-PBE calculation of a geometry-optimized DyFeReSi2 structure, from Alexandria.

## Properties
Space-group type = I-4m2

abc: 5.8515 5.8515 5.8515
angles: 140.09 140.09 57.72
With the nearest neighbours (Å) after each atom.
Element x y z (fractional)
Dy: 0.0000 0.0000 0.0000  8 Si 3.08, 4 Fe 3.25, 4 Re 3.25
Fe: 0.7500 0.2500 0.5000  4 Si 2.40
Re: 0.2500 0.7500 0.5000  4 Si 2.40
Si: 0.3797 0.3797 0.0000  2 Fe 2.40, 2 Re 2.40, 1 Si 2.47
Si: 0.6203 0.6203 0.0000  2 Fe 2.40, 2 Re 2.40, 1 Si 2.47

| no. | M_tot (μB per formula unit) | V (A^3/atom) | electronic total energy (eV/cell) |
| --- | --- | --- | --- |
| 1 | 4.199 | 22.15 | -39.5 |
| 2 | 9.480 | 23.66 | -41.2 |
| 3 | 19.194 | 13.15 | -114.6 |
| 4 | 1.998 | 16.35 | -39.1 |